V2HgCl4, optimized geometry, DFT PBE; formation energy from raw total energies = -6.6 eV/f.u.; calculated volume = 31.8 A^3/atom; space-group type = C2/m (12)
1.0
-2.220 -0.703 -2.799
3.859 -4.636 -1.897
-5.742 -3.589 7.824
Cl Hg V
4 1 2
Cartesian
-3.539 -1.838 0.901
-0.564 -7.089 2.227
-0.503 -3.801 1.353
-3.601 -5.126 1.775
0.820 -2.669 -2.348
-2.462 -3.130 2.739
-1.641 -5.797 0.389